(1)
An optimized crystal structure of In2NiRu2, computed with PBE-GGA.

a = 6.4182 Å, b = 6.4182 Å, c = 4.1940 Å
α = 90.00°, β = 90.00°, γ = 90.00°
With the nearest neighbours (Å) after each atom.
Positions (direct):
Ru  0.3661  0.8661  0.0000  1 Ru 2.43, 2 Ni 2.50
Ru  0.8661  0.6339  0.0000  1 Ru 2.43, 2 Ni 2.50
Ru  0.6339  0.1339  0.0000  1 Ru 2.43, 2 Ni 2.50
Ru  0.1339  0.3661  0.0000  1 Ru 2.43, 2 Ni 2.50
Ni  0.0000  0.0000  0.0000  4 Ru 2.50
Ni  0.5000  0.5000  0.0000  4 Ru 2.50
In  0.1745  0.6745  0.5000  6 Ru 2.72-2.90
In  0.6745  0.8255  0.5000  6 Ru 2.72-2.90
In  0.8255  0.3255  0.5000  6 Ru 2.72-2.90
In  0.3255  0.1745  0.5000  6 Ru 2.72-2.90

## Properties
As for the crystal system: tetragonal. As for the energy: -5.79 eV/atom.

(2)
An optimized crystal structure of Ba5Ag4Hg, computed with PBE-GGA.

a = 4.1467 Å, b = 4.1467 Å, c = 20.6597 Å
α = 90.00°, β = 90.00°, γ = 90.00°
With the nearest neighbours (Å) after each atom.
Positions (direct):
Ba  0.5000  0.5000  0.1033  4 Ag 3.58, 4 Hg 3.63
Ba  0.5000  0.5000  0.3025  8 Ag 3.57-3.58
Ba  0.5000  0.5000  0.5000  8 Ag 3.57
Ba  0.5000  0.5000  0.6975  8 Ag 3.57-3.58
Ba  0.5000  0.5000  0.8967  4 Ag 3.58, 4 Hg 3.63
Ag  0.0000  0.0000  0.2028  8 Ba 3.58
Ag  0.0000  0.0000  0.4012  8 Ba 3.57
Ag  0.0000  0.0000  0.5988  8 Ba 3.57
Ag  0.0000  0.0000  0.7972  8 Ba 3.58
Hg  0.0000  0.0000  0.0000  8 Ba 3.63

## Properties
As for the crystal system: tetragonal. As for the energy: -2.42 eV/atom.

(3)
An optimized crystal structure of SrLiIrO3, computed with PBE-GGA.

a = 5.2947 Å, b = 5.6167 Å, c = 5.9294 Å
α = 118.27°, β = 90.00°, γ = 90.00°
With the nearest neighbours (Å) after each atom.
Positions (direct):
Sr  0.7500  0.2939  0.5878  8 O 2.72-2.83, 3 Li 2.94-3.02
Sr  0.2500  0.7061  0.4122  8 O 2.72-2.83, 3 Li 2.94-3.02
Li  0.2500  0.4172  0.8344  5 O 1.90-2.03
Li  0.7500  0.5828  0.1656  5 O 1.90-2.03
Ir  0.2500  0.0115  0.0230  4 O 2.03
Ir  0.7500  0.9885  0.9770  4 O 2.03
O  0.2500  0.2354  0.4708  1 Li 1.90
O  0.0000  0.2735  0.0000  2 Li 2.03, 2 Ir 2.03
O  0.5000  0.7265  0.0000  2 Li 2.03, 2 Ir 2.03
O  0.5000  0.2735  0.0000  2 Li 2.03, 2 Ir 2.03
O  0.0000  0.7265  0.0000  2 Li 2.03, 2 Ir 2.03
O  0.7500  0.7646  0.5292  1 Li 1.90

## Properties
As for the crystal system: orthorhombic. Its formation energy (no corrections) is -8.49 eV/f.u.